No. 1
NdDy5Ho2 | PBE | optimized geometry

Lattice parameters (Å, degrees): 5.0143 7.1147 14.2313 90.00 90.00 90.00
Atoms (fractional coordinates):
Ho: 0.5000 0.2505 0.6258
Ho: 0.5000 0.7495 0.3742
Ho: 0.5000 0.2495 0.1258
Ho: 0.5000 0.7505 0.8742
Dy: 0.5000 0.7491 0.6259
Dy: 0.0000 0.0003 0.2490
Dy: 0.5000 0.7509 0.1259
Dy: 0.0000 0.5003 0.2510
Dy: 0.5000 0.2509 0.3741
Dy: 0.0000 0.9997 0.7510
Dy: 0.0000 0.4997 0.7490
Dy: 0.5000 0.2491 0.8741
Dy: 0.0000 0.5000 0.5000
Dy: 0.0000 0.0000 0.0000
Nd: 0.0000 0.5000 0.0000
Nd: 0.0000 0.0000 0.5000

Output
* DFT formation energy: 0.017 eV per atom
* space-group type: Pbam
* DOS(E_F): 1.20 states/eV per atom
* energy above the most stable polymorph in this dataset: 0.000 eV/atom



No. 2
Nd2Dy12Ho5 | PBE | optimized geometry

Lattice parameters (Å, degrees): 9.2120 12.3851 8.5196 132.56 90.00 111.83
Atoms (fractional coordinates):
Dy: 0.5583 0.1167 0.7862
Dy: 0.0245 0.6873 0.9313
Dy: 0.5654 0.7473 0.4011
Dy: 0.6629 0.6873 0.9313
Dy: 0.1820 0.7473 0.4011
Dy: 0.8180 0.2527 0.5989
Dy: 0.4417 0.8833 0.2138
Dy: 0.4346 0.2527 0.5989
Dy: 0.0932 0.1864 0.3037
Dy: 0.9068 0.8136 0.6963
Dy: 0.3371 0.3127 0.0687
Dy: 0.9755 0.3127 0.0687
Ho: 0.0000 0.0000 0.5000
Ho: 0.2317 0.4634 0.8878
Ho: 0.7683 0.5366 0.1122
Ho: 0.6976 0.3952 0.3853
Ho: 0.3024 0.6048 0.6147
Nd: 0.3168 0.0000 0.0000
Nd: 0.6832 0.0000 0.0000

Output
* DFT formation energy: 0.133 eV per atom
* space-group type: C2/m
* DOS(E_F): 1.45 states/eV per atom
* energy above the most stable polymorph in this dataset: 0.046 eV/atom



No. 3
Nd8DyHo3 | PBE | optimized geometry

Lattice parameters (Å, degrees): 12.0226 12.7637 9.8616 147.17 90.00 118.10
Atoms (fractional coordinates):
Nd: 0.1820 0.8622 0.0283
Nd: 0.8196 0.6393 0.9725
Nd: 0.3193 0.6387 0.9736
Nd: 0.6802 0.8622 0.0283
Nd: 0.6807 0.3613 0.0264
Nd: 0.8180 0.1378 0.9717
Nd: 0.3198 0.1378 0.9717
Nd: 0.1804 0.3607 0.0275
Ho: 0.5000 0.0000 0.0000
Ho: 0.0000 0.5000 0.0000
Ho: 0.5000 0.5000 0.0000
Dy: 0.0000 0.0000 0.0000

Output
* DFT formation energy: 0.113 eV per atom
* space-group type: C2/m
* DOS(E_F): 1.93 states/eV per atom



No. 4
Nd7DyHo12 | PBE | optimized geometry

Lattice parameters (Å, degrees): 8.7837 8.7837 8.7837 85.95 85.95 85.95
Atoms (fractional coordinates):
Ho: 0.2729 0.1452 0.7478
Ho: 0.4968 0.6166 0.1351
Ho: 0.3834 0.8649 0.5032
Ho: 0.5032 0.3834 0.8649
Ho: 0.8649 0.5032 0.3834
Ho: 0.7478 0.2729 0.1452
Ho: 0.8548 0.2522 0.7271
Ho: 0.2522 0.7271 0.8548
Ho: 0.7271 0.8548 0.2522
Ho: 0.1351 0.4968 0.6166
Ho: 0.6166 0.1351 0.4968
Ho: 0.1452 0.7478 0.2729
Nd: 0.9203 0.8445 0.6013
Nd: 0.0797 0.1555 0.3987
Nd: 0.1555 0.3987 0.0797
Nd: 0.8445 0.6013 0.9203
Nd: 0.3987 0.0797 0.1555
Nd: 0.5000 0.5000 0.5000
Nd: 0.6013 0.9203 0.8445
Dy: 0.0000 0.0000 0.0000

Output
* DFT formation energy: 0.231 eV per atom
* space-group type: R-3
* DOS(E_F): 1.82 states/eV per atom
* energy above the most stable polymorph in this dataset: 0.000 eV/atom



No. 5
Nd3Dy5Ho2 | PBE | optimized geometry

Lattice parameters (Å, degrees): 9.4535 9.4262 11.1462 124.96 125.02 69.25
Atoms (fractional coordinates):
Nd: 0.7658 0.0158 0.0317
Nd: 0.2675 0.5263 0.7484
Nd: 0.0191 0.7779 0.2516
Nd: 0.7325 0.4737 0.2516
Nd: 0.2342 0.9842 0.9683
Nd: 0.9809 0.2221 0.7484
Dy: 0.7278 0.4778 0.9557
Dy: 0.0266 0.7766 0.5533
Dy: 0.4696 0.7196 0.4391
Dy: 0.2722 0.5222 0.0443
Dy: 0.1503 0.3979 0.2757
Dy: 0.3746 0.1222 0.7243
Dy: 0.9734 0.2234 0.4467
Dy: 0.5304 0.2804 0.5609
Dy: 0.8497 0.6021 0.7243
Dy: 0.6254 0.8778 0.2757
Ho: 0.5355 0.2770 0.2659
Ho: 0.7696 0.0110 0.7341
Ho: 0.2304 0.9890 0.2659
Ho: 0.4645 0.7230 0.7341

Output
* DFT formation energy: 0.192 eV per atom
* space-group type: C2/c
* DOS(E_F): 1.77 states/eV per atom
* energy above the most stable polymorph in this dataset: 0.000 eV/atom



No. 6
Nd6Dy2Ho | PBE | optimized geometry

Lattice parameters (Å, degrees): 3.6665 10.0558 10.0558 55.97 90.00 90.00
Atoms (fractional coordinates):
Nd: 0.0000 0.5103 0.1593
Nd: 0.0000 0.4897 0.8407
Nd: 0.0000 0.1593 0.5103
Nd: 0.0000 0.8407 0.4897
Nd: 0.5000 0.6842 0.3158
Nd: 0.5000 0.3158 0.6842
Dy: 0.5000 0.1764 0.1764
Dy: 0.5000 0.8236 0.8236
Ho: 0.0000 0.0000 0.0000

Output
* DFT formation energy: 0.129 eV per atom
* space-group type: Cmmm
* DOS(E_F): 1.37 states/eV per atom
* energy above the most stable polymorph in this dataset: 0.015 eV/atom



No. 7
NdDy8Ho5 | PBE | optimized geometry

Lattice parameters (Å, degrees): 8.4152 8.4152 8.4152 111.53 105.42 111.53
Atoms (fractional coordinates):
Dy: 0.0748 0.7477 0.4691
Dy: 0.5743 0.9150 0.8352
Dy: 0.7214 0.2523 0.3271
Dy: 0.3407 0.2609 0.4257
Dy: 0.1648 0.7391 0.0798
Dy: 0.5309 0.6057 0.2786
Dy: 0.6729 0.3943 0.9252
Dy: 0.9202 0.0850 0.6593
Nd: 0.2500 0.5000 0.7500
Ho: 0.8641 0.9036 0.1856
Ho: 0.0395 0.3215 0.1359
Ho: 0.8144 0.6785 0.7180
Ho: 0.5000 0.0000 0.5000
Ho: 0.2820 0.0964 0.9605

Output
* DFT formation energy: 0.248 eV per atom
* space-group type: I-4
* DOS(E_F): 1.55 states/eV per atom



No. 8
Nd3Dy2Ho5 | PBE | optimized geometry

Lattice parameters (Å, degrees): 6.3366 11.0613 11.0613 98.78 73.36 73.36
Atoms (fractional coordinates):
Ho: 0.0985 0.5573 0.2457
Ho: 0.7500 0.5000 0.5000
Ho: 0.0032 0.7468 0.7468
Ho: 0.9968 0.2532 0.2532
Ho: 0.4968 0.2532 0.2532
Ho: 0.5985 0.2457 0.5573
Ho: 0.2500 0.5000 0.5000
Ho: 0.9015 0.4427 0.7543
Ho: 0.4015 0.7543 0.4427
Ho: 0.5032 0.7468 0.7468
Nd: 0.1569 0.0887 0.5976
Nd: 0.2500 0.0000 0.0000
Nd: 0.7500 0.0000 0.0000
Nd: 0.8431 0.9113 0.4024
Nd: 0.6569 0.5976 0.0887
Nd: 0.3431 0.4024 0.9113
Dy: 0.8959 0.2601 0.9482
Dy: 0.1041 0.7399 0.0518
Dy: 0.6041 0.0518 0.7399
Dy: 0.3959 0.9482 0.2601

Output
* DFT formation energy: 0.339 eV per atom
* space-group type: Ibam
* DOS(E_F): 1.78 states/eV per atom
* energy above the most stable polymorph in this dataset: 0.146 eV/atom



No. 9
Nd14DyHo | PBE | optimized geometry

Lattice parameters (Å, degrees): 7.3262 7.3262 10.3523 90.00 90.00 90.00
Atoms (fractional coordinates):
Nd: 0.8747 0.6247 0.0000
Nd: 0.1250 0.8750 0.7524
Nd: 0.8752 0.6252 0.5000
Nd: 0.1250 0.8750 0.2476
Nd: 0.8750 0.1250 0.5000
Nd: 0.6248 0.8748 0.7523
Nd: 0.1252 0.3752 0.7523
Nd: 0.3748 0.1248 0.5000
Nd: 0.6248 0.8748 0.2477
Nd: 0.1252 0.3752 0.2477
Nd: 0.6250 0.3750 0.7522
Nd: 0.3750 0.6250 0.5000
Nd: 0.3753 0.1253 0.0000
Nd: 0.6250 0.3750 0.2478
Ho: 0.3749 0.6251 0.0000
Dy: 0.8752 0.1248 0.0000

Output
* DFT formation energy: 0.014 eV per atom
* space-group type: P4/mmm
* DOS(E_F): 1.56 states/eV per atom



No. 10
NdDy2Ho3 | PBE | optimized geometry

Lattice parameters (Å, degrees): 6.6198 6.6198 8.9301 98.47 98.47 94.89
Atoms (fractional coordinates):
Ho: 0.3258 0.1591 0.9926
Ho: 0.1591 0.3258 0.4926
Ho: 0.6742 0.8409 0.0074
Ho: 0.8409 0.6742 0.5074
Ho: 0.5717 0.4283 0.7500
Ho: 0.4283 0.5717 0.2500
Dy: 0.1277 0.6238 0.8754
Dy: 0.3762 0.8723 0.6246
Dy: 0.8723 0.3762 0.1246
Dy: 0.6238 0.1277 0.3754
Nd: 0.9035 0.0965 0.7500
Nd: 0.0965 0.9035 0.2500

Output
* DFT formation energy: 0.068 eV per atom
* space-group type: C2/c
* DOS(E_F): 1.63 states/eV per atom
* energy above the most stable polymorph in this dataset: 0.048 eV/atom



No. 11
Nd7Dy2Ho2 | PBE | optimized geometry

Lattice parameters (Å, degrees): 8.2522 6.9814 6.9814 103.80 81.65 81.65
Atoms (fractional coordinates):
Nd: 0.1711 0.0908 0.5153
Nd: 0.8289 0.9092 0.4847
Nd: 0.8289 0.4847 0.9092
Nd: 0.0000 0.0000 0.0000
Nd: 0.4840 0.8013 0.8013
Nd: 0.5160 0.1987 0.1987
Nd: 0.1711 0.5153 0.0908
Dy: 0.8215 0.4149 0.4149
Dy: 0.1785 0.5851 0.5851
Ho: 0.5000 0.7120 0.2880
Ho: 0.5000 0.2880 0.7120

Output
* DFT formation energy: 0.131 eV per atom
* space-group type: C2/m
* DOS(E_F): 1.47 states/eV per atom
* energy above the most stable polymorph in this dataset: 0.000 eV/atom



No. 12
Nd3DyHo6 | PBE | optimized geometry

Lattice parameters (Å, degrees): 6.3354 10.9137 10.9137 119.73 90.00 90.00
Atoms (fractional coordinates):
Ho: 0.0468 0.3788 0.2873
Ho: 0.5468 0.2873 0.3788
Ho: 0.1486 0.7277 0.2723
Ho: 0.8736 0.0397 0.9603
Ho: 0.3710 0.5305 0.9501
Ho: 0.3736 0.9603 0.0397
Ho: 0.6486 0.2723 0.7277
Ho: 0.8710 0.4695 0.0499
Ho: 0.0468 0.7127 0.6212
Ho: 0.5468 0.6212 0.7127
Ho: 0.3710 0.0499 0.4695
Ho: 0.8710 0.9501 0.5305
Nd: 0.9629 0.0627 0.2888
Nd: 0.4629 0.2888 0.0627
Nd: 0.9629 0.7112 0.9373
Nd: 0.5698 0.6118 0.3882
Nd: 0.0698 0.3882 0.6118
Nd: 0.4629 0.9373 0.7112
Dy: 0.1319 0.1959 0.8041
Dy: 0.6319 0.8041 0.1959

Output
* DFT formation energy: 0.150 eV per atom
* space-group type: Cmc2_1
* DOS(E_F): 1.36 states/eV per atom
* energy above the most stable polymorph in this dataset: 0.000 eV/atom



No. 13
Nd3DyHo2 | PBE | optimized geometry

Lattice parameters (Å, degrees): 11.6201 6.2725 6.2725 120.00 90.00 90.00
Atoms (fractional coordinates):
Nd: 0.9696 0.1674 0.8334
Nd: 0.9696 0.8334 0.1674
Nd: 0.4696 0.1666 0.8326
Nd: 0.4696 0.8326 0.1666
Nd: 0.4697 0.4998 0.4998
Nd: 0.9697 0.5002 0.5002
Ho: 0.7196 0.1667 0.5000
Ho: 0.7196 0.5000 0.1667
Ho: 0.2196 0.8333 0.5000
Ho: 0.2196 0.5000 0.8333
Dy: 0.7196 0.8335 0.8335
Dy: 0.2196 0.1665 0.1665

Output
* DFT formation energy: -0.003 eV per atom
* space-group type: Cmcm
* DOS(E_F): 1.20 states/eV per atom
* energy above the most stable polymorph in this dataset: 0.000 eV/atom



No. 14
Nd3DyHo3 | PBE | optimized geometry

Lattice parameters (Å, degrees): 5.7651 9.6430 9.6445 120.00 90.00 90.00
Atoms (fractional coordinates):
Dy: 0.2500 0.6666 0.3332
Dy: 0.7500 0.3334 0.6668
Nd: 0.7500 0.7568 0.8063
Nd: 0.2500 0.2432 0.1937
Nd: 0.2500 0.8064 0.0493
Nd: 0.7500 0.1936 0.9507
Nd: 0.7500 0.0497 0.2433
Nd: 0.2500 0.9503 0.7567
Ho: 0.7500 0.4793 0.3840
Ho: 0.2500 0.0952 0.4791
Ho: 0.7500 0.9048 0.5209
Ho: 0.2500 0.5207 0.6160
Ho: 0.2500 0.3838 0.9047
Ho: 0.7500 0.6162 0.0953

Output
* DFT formation energy: 0.022 eV per atom
* space-group type: P6_3/m
* DOS(E_F): 1.74 states/eV per atom
* energy above the most stable polymorph in this dataset: 0.000 eV/atom



No. 15
Nd3DyHo4 | PBE | optimized geometry

Lattice parameters (Å, degrees): 6.3010 7.3119 11.4611 90.00 90.00 90.00
Atoms (fractional coordinates):
Dy: 0.6466 0.6298 0.5000
Dy: 0.1466 0.3702 0.0000
Nd: 0.4819 0.3732 0.2504
Nd: 0.9819 0.6268 0.7504
Nd: 0.6467 0.6273 0.0000
Nd: 0.1467 0.3727 0.5000
Nd: 0.4819 0.3732 0.7496
Nd: 0.9819 0.6268 0.2496
Ho: 0.6476 0.1218 0.5000
Ho: 0.1476 0.8782 0.0000
Ho: 0.1484 0.8783 0.5000
Ho: 0.9810 0.1217 0.2485
Ho: 0.9810 0.1217 0.7515
Ho: 0.6484 0.1217 0.0000
Ho: 0.4810 0.8783 0.7485
Ho: 0.4810 0.8783 0.2515

Output
* DFT formation energy: 0.023 eV per atom
* space-group type: Pmn2_1
* DOS(E_F): 1.79 states/eV per atom
* energy above the most stable polymorph in this dataset: 0.000 eV/atom



No. 16
NdDy5Ho7 | PBE | optimized geometry

Lattice parameters (Å, degrees): 6.6603 8.6608 8.6608 79.51 67.39 67.39
Atoms (fractional coordinates):
Dy: 0.7339 0.7661 0.7661
Dy: 0.9984 0.5388 0.9971
Dy: 0.4657 0.5388 0.9971
Dy: 0.4657 0.9971 0.5388
Dy: 0.9984 0.9971 0.5388
Ho: 0.4807 0.1885 0.8501
Ho: 0.9815 0.3488 0.6882
Ho: 0.4238 0.5762 0.5762
Ho: 0.7289 0.2711 0.2711
Ho: 0.2291 0.2709 0.2709
Ho: 0.4807 0.8501 0.1885
Ho: 0.9815 0.6882 0.3488
Nd: 0.0317 0.9683 0.9683

Output
* DFT formation energy: 0.252 eV per atom
* space-group type: Imm2
* DOS(E_F): 1.85 states/eV per atom



No. 17
Nd8Dy4Ho3 | PBE | optimized geometry

Lattice parameters (Å, degrees): 7.0239 7.0239 12.6153 73.84 73.84 60.00
Atoms (fractional coordinates):
Ho: 0.0000 0.5000 0.5000
Ho: 0.0000 0.0000 0.5000
Ho: 0.5000 0.0000 0.5000
Nd: 0.7543 0.7543 0.7370
Nd: 0.2497 0.2497 0.7487
Nd: 0.2497 0.7520 0.7487
Nd: 0.7503 0.7503 0.2513
Nd: 0.7503 0.2480 0.2513
Nd: 0.2480 0.7503 0.2513
Nd: 0.2457 0.2457 0.2630
Nd: 0.7520 0.2497 0.7487
Dy: 0.5000 0.5000 0.5000
Dy: 0.6643 0.6643 0.0071
Dy: 0.3357 0.3357 0.9929
Dy: 0.0000 0.0000 0.0000

Output
* DFT formation energy: 0.153 eV per atom
* space-group type: R-3m
* DOS(E_F): 1.65 states/eV per atom
* energy above the most stable polymorph in this dataset: 0.000 eV/atom



No. 18
NdDy3Ho5 | PBE | optimized geometry

Lattice parameters (Å, degrees): 9.2851 9.2851 12.7758 51.47 51.47 50.77
Atoms (fractional coordinates):
Ho: 0.4431 0.4431 0.4333
Ho: 0.6796 0.3204 0.0000
Ho: 0.4896 0.0789 0.7801
Ho: 0.5104 0.9211 0.2199
Ho: 0.3701 0.3701 0.9295
Ho: 0.5569 0.5569 0.5667
Ho: 0.9211 0.5104 0.2199
Ho: 0.6299 0.6299 0.0705
Ho: 0.0789 0.4896 0.7801
Ho: 0.3204 0.6796 0.0000
Dy: 0.1677 0.1677 0.6587
Dy: 0.8323 0.8323 0.3413
Dy: 0.6947 0.6947 0.6861
Dy: 0.0000 0.0000 0.0000
Dy: 0.0000 0.0000 0.5000
Dy: 0.3053 0.3053 0.3139
Nd: 0.8941 0.8941 0.8694
Nd: 0.1059 0.1059 0.1306

Output
* DFT formation energy: 0.418 eV per atom
* space-group type: C2/m
* DOS(E_F): 1.51 states/eV per atom
* energy above the most stable polymorph in this dataset: 0.082 eV/atom